# 1
Computed, not measured: crystalline MnFeCuPd at its relaxed geometry at the GGA-PBE level of DFT.

Cell: 6.000 6.000 6.000 Å, 90.00 90.00 90.00°
Positions (direct):
1 Mn 0.000 0.000 0.000
2 Mn 0.000 0.500 0.500
3 Mn 0.500 0.000 0.500
4 Mn 0.500 0.500 0.000
5 Fe 0.250 0.250 0.250
6 Fe 0.250 0.750 0.750
7 Fe 0.750 0.250 0.750
8 Fe 0.750 0.750 0.250
9 Cu 0.250 0.250 0.750
10 Cu 0.250 0.750 0.250
11 Cu 0.750 0.250 0.250
12 Cu 0.750 0.750 0.750
13 Pd 0.000 0.000 0.500
14 Pd 0.000 0.500 0.000
15 Pd 0.500 0.000 0.000
16 Pd 0.500 0.500 0.500

uncorrected energy	-106.24	eV per cell
M_tot	7.0	μB per formula unit
density of states at the Fermi level	15.8	states/eV/cell
mass density	8.6	g/cm3

***

# 2
Computed, not measured: crystalline MnFeCuPt at its relaxed geometry at the GGA-PBE level of DFT.

Cell: 5.999 5.999 5.999 Å, 90.00 90.00 90.00°
Positions (direct):
1 Mn 0.000 0.000 0.000
2 Mn 0.000 0.500 0.500
3 Mn 0.500 0.000 0.500
4 Mn 0.500 0.500 0.000
5 Fe 0.250 0.250 0.250
6 Fe 0.250 0.750 0.750
7 Fe 0.750 0.250 0.750
8 Fe 0.750 0.750 0.250
9 Cu 0.000 0.000 0.500
10 Cu 0.000 0.500 0.000
11 Cu 0.500 0.000 0.000
12 Cu 0.500 0.500 0.500
13 Pt 0.250 0.250 0.750
14 Pt 0.250 0.750 0.250
15 Pt 0.750 0.250 0.250
16 Pt 0.750 0.750 0.750

uncorrected energy	-110.97	eV per cell
M_tot	6.7	μB per formula unit
density of states at the Fermi level	19.6	states/eV/cell
mass density	11.4	g/cm3

***

# 3
Computed, not measured: crystalline MnFe2CuRh at its relaxed geometry at the GGA-PBE level of DFT.

Cell: 4.247 4.247 4.534 Å, 90.00 90.00 90.00°
Positions (direct):
1 Mn 0.000 0.000 0.000
2 Fe 0.000 0.500 0.500
3 Fe 0.500 0.000 0.500
4 Cu 0.500 0.500 0.500
5 Rh 0.500 0.500 0.000

uncorrected energy	-29.93	eV per cell
M_tot	6.0	μB per formula unit
density of states at the Fermi level	8.2	states/eV/cell
mass density	6.8	g/cm3

***

# 4
Computed, not measured: crystalline MnFeCuRh at its relaxed geometry at the GGA-PBE level of DFT.

Cell: 5.961 5.961 5.961 Å, 90.00 90.00 90.00°
Positions (direct):
1 Mn 0.000 0.000 0.000
2 Mn 0.000 0.500 0.500
3 Mn 0.500 0.000 0.500
4 Mn 0.500 0.500 0.000
5 Fe 0.250 0.250 0.250
6 Fe 0.250 0.750 0.750
7 Fe 0.750 0.250 0.750
8 Fe 0.750 0.750 0.250
9 Cu 0.250 0.250 0.750
10 Cu 0.250 0.750 0.250
11 Cu 0.750 0.250 0.250
12 Cu 0.750 0.750 0.750
13 Rh 0.000 0.000 0.500
14 Rh 0.000 0.500 0.000
15 Rh 0.500 0.000 0.000
16 Rh 0.500 0.500 0.500

uncorrected energy	-115.16	eV per cell
M_tot	7.2	μB per formula unit
density of states at the Fermi level	14.0	states/eV/cell
mass density	8.7	g/cm3

***

# 5
Computed, not measured: crystalline Mn2Fe3Cu10Sn5S20 at its relaxed geometry at the GGA-PBE level of DFT.

Cell: 14.978 14.978 14.978 Å, 158.92 137.80 47.63°
Positions (direct):
1 Mn 0.200 0.200 0.000
2 Mn 0.800 0.800 0.000
3 Fe 0.000 0.000 0.000
4 Fe 0.400 0.400 0.000
5 Fe 0.600 0.600 0.000
6 Cu 0.051 0.304 0.754
7 Cu 0.152 0.898 0.249
8 Cu 0.252 0.500 0.752
9 Cu 0.351 0.102 0.254
10 Cu 0.450 0.696 0.747
11 Cu 0.550 0.297 0.246
12 Cu 0.649 0.903 0.751
13 Cu 0.748 0.500 0.248
14 Cu 0.848 0.097 0.746
15 Cu 0.949 0.703 0.253
16 Sn 0.098 0.598 0.500
17 Sn 0.301 0.801 0.500
18 Sn 0.500 0.000 0.500
19 Sn 0.699 0.199 0.500
20 Sn 0.902 0.402 0.500
21 S 0.016 0.394 0.108
22 S 0.086 0.721 0.900
23 S 0.113 0.006 0.622
24 S 0.179 0.279 0.365
25 S 0.223 0.588 0.103
26 S 0.286 0.908 0.892
27 S 0.316 0.214 0.636
28 S 0.384 0.491 0.378
29 S 0.422 0.786 0.102
30 S 0.485 0.120 0.897
31 S 0.515 0.412 0.635
32 S 0.578 0.680 0.364
33 S 0.616 0.994 0.107
34 S 0.684 0.320 0.898
35 S 0.714 0.606 0.622
36 S 0.777 0.880 0.365
37 S 0.821 0.187 0.100
38 S 0.887 0.509 0.893
39 S 0.914 0.813 0.635
40 S 0.984 0.092 0.378

M_tot	5.9	μB per formula unit
density of states at the Fermi level	6.4	states/eV/cell
mass density	4.4	g/cm3
energy relative to the elements, uncorrected	-0.37	eV per atom

***

# 6
Computed, not measured: crystalline MnFeCuSi at its relaxed geometry at the GGA-PBE level of DFT.

Cell: 5.705 5.705 5.705 Å, 90.00 90.00 90.00°
Positions (direct):
1 Mn 0.000 0.000 0.000
2 Mn 0.000 0.500 0.500
3 Mn 0.500 0.000 0.500
4 Mn 0.500 0.500 0.000
5 Fe 0.250 0.250 0.250
6 Fe 0.250 0.750 0.750
7 Fe 0.750 0.250 0.750
8 Fe 0.750 0.750 0.250
9 Cu 0.250 0.250 0.750
10 Cu 0.250 0.750 0.250
11 Cu 0.750 0.250 0.250
12 Cu 0.750 0.750 0.750
13 Si 0.000 0.000 0.500
14 Si 0.000 0.500 0.000
15 Si 0.500 0.000 0.000
16 Si 0.500 0.500 0.500

M_tot	2.1	μB per formula unit
density of states at the Fermi level	20.2	states/eV/cell
mass density	7.2	g/cm3
energy relative to the elements, uncorrected	-0.07	eV per atom

***

# 7
Computed, not measured: crystalline TaMnFeCu2 at its relaxed geometry at the GGA-PBE level of DFT.

Cell: 4.457 4.457 4.364 Å, 90.00 90.00 90.00°
Positions (direct):
1 Ta 0.000 0.000 0.000
2 Mn 0.500 0.500 0.000
3 Fe 0.000 0.000 0.500
4 Cu 0.000 0.500 0.500
5 Cu 0.500 0.000 0.500

uncorrected energy	-32.55	eV per cell
M_tot	4.7	μB per formula unit
density of states at the Fermi level	5.0	states/eV/cell
mass density	8.0	g/cm3

***

# 8
Computed, not measured: crystalline FeCuMo at its relaxed geometry at the GGA-PBE level of DFT.

Cell: 2.568 3.883 7.802 Å, 90.00 90.00 90.00°
Positions (direct):
1 Fe 0.000 0.000 0.000
2 Fe 0.500 0.500 0.500
3 Cu 0.000 0.000 0.660
4 Cu 0.500 0.500 0.160
5 Mo 0.000 0.000 0.328
6 Mo 0.500 0.500 0.828

M_tot	1.2	μB per formula unit
density of states at the Fermi level	3.5	states/eV/cell
ΔE to the lowest computed polymorph	15	meV/atom
mass density	9.2	g/cm3

***

- Number 4 is which compound?
  MnFeCuRh

***

- Look up the density of states at the Fermi level of the sixth one.
  20.2 states/eV/cell